LiCe2VO6 | PBE with a Hubbard U | optimized geometry

VASP energy in eV/atom: -7.941

a = 5.3744 Å, b = 5.7411 Å, c = 7.6560 Å
α = 90.00°, β = 89.25°, γ = 90.00°
Last column: nearest neighbours and their distance in Å.
Positions (direct):
O: 0.8747 0.5487 0.2440  1 V 2.00, 1 Li 2.10
O: 0.3284 0.7029 0.4342  1 V 2.01, 1 Li 2.17
O: 0.8284 0.7971 0.9342  1 V 2.01, 1 Li 2.17
V: 0.0000 0.5000 0.0000  6 O 2.00-2.02
O: 0.6716 0.2971 0.5658  1 V 2.01, 1 Li 2.17
Ce: 0.0223 0.9240 0.2525  5 O 2.25-2.51
Ce: 0.4777 0.4240 0.2475  5 O 2.25-2.51
O: 0.6253 0.0487 0.2560  1 V 2.00, 1 Li 2.10
V: 0.5000 0.0000 0.5000  6 O 2.00-2.02
O: 0.3747 0.9513 0.7440  1 V 2.00, 1 Li 2.10
O: 0.8100 0.8203 0.5592  1 V 2.02, 1 Li 2.15, 1 Ce 2.25
Li: 0.5000 0.0000 0.0000  6 O 2.10-2.17
Li: 0.0000 0.5000 0.5000  6 O 2.10-2.17
O: 0.1900 0.1797 0.4408  1 V 2.02, 1 Li 2.15, 1 Ce 2.25
O: 0.1716 0.2029 0.0658  1 V 2.01, 1 Li 2.17
Ce: 0.9777 0.0760 0.7475  5 O 2.25-2.51
O: 0.6900 0.3203 0.9408  1 V 2.02, 1 Li 2.15, 1 Ce 2.25
O: 0.1253 0.4513 0.7560  1 V 2.00, 1 Li 2.10
Ce: 0.5223 0.5760 0.7525  5 O 2.25-2.51
O: 0.3100 0.6797 0.0592  1 V 2.02, 1 Li 2.15, 1 Ce 2.25